16
Lattice="7.493 0.000 0.000 0.000 7.493 0.000 0.000 0.000 7.493" Properties=species:S:1:pos:R:3 comment="ErHfThZr | Alexandria via LeMat-Bulk | PBE | optimized geometry" e_tot_ev_per_cell=-118.8 formation_energy_kj_per_mol_atoms=19.0 crystal_system=cubic pbc="T T T"
Er 0.000 0.000 0.000
Er 0.000 3.746 3.746
Er 3.746 0.000 3.746
Er 3.746 3.746 0.000
Hf 0.000 0.000 3.746
Hf 0.000 3.746 0.000
Hf 3.746 0.000 0.000
Hf 3.746 3.746 3.746
Th 1.873 1.873 5.620
Th 1.873 5.620 1.873
Th 5.620 1.873 1.873
Th 5.620 5.620 5.620
Zr 1.873 1.873 1.873
Zr 1.873 5.620 5.620
Zr 5.620 1.873 5.620
Zr 5.620 5.620 1.873

=====

12
Lattice="3.252 0.000 0.000 0.000 21.253 0.000 0.000 0.000 4.116" Properties=species:S:1:pos:R:3 comment="ErHfTi | Alexandria via LeMat-Bulk | PBE | optimized geometry" e_tot_ev_per_cell=-87.6 formation_energy_kj_per_mol_atoms=16.1 crystal_system=orthorhombic e_above_lowest_polymorph_mev_per_atom=0 pbc="T T T"
Er 0.000 1.314 1.029
Er 0.000 19.939 3.087
Er 1.626 9.312 3.087
Er 1.626 11.940 1.029
Hf 0.000 4.475 1.029
Hf 0.000 16.778 3.087
Hf 1.626 6.151 3.087
Hf 1.626 15.102 1.029
Ti 0.000 7.548 1.029
Ti 0.000 13.704 3.087
Ti 1.626 3.078 3.087
Ti 1.626 18.175 1.029

=====

3
Lattice="3.189 0.000 0.000 -1.595 2.762 0.000 0.000 0.000 7.800" Properties=species:S:1:pos:R:3 comment="ErHfTi | Alexandria via LeMat-Bulk | PBE | optimized geometry" e_tot_ev_per_cell=-21.8 formation_energy_kj_per_mol_atoms=20.6 crystal_system=trigonal e_above_lowest_polymorph_mev_per_atom=47 pbc="T T T"
Er 0.000 0.000 0.000
Hf 0.000 1.841 4.954
Ti 1.595 0.921 2.644

=====

12
Lattice="3.218 0.000 0.000 -1.609 2.787 0.000 0.000 0.000 33.324" Properties=species:S:1:pos:R:3 comment="Er2HfTi | Alexandria via LeMat-Bulk | PBE | optimized geometry" e_tot_ev_per_cell=-76.0 formation_energy_kj_per_mol_atoms=39.9 crystal_system=trigonal pbc="T T T"
Er 0.000 0.000 2.927
Er 0.000 0.000 30.396
Er 0.000 1.858 19.288
Er 0.000 1.858 25.143
Er 1.609 0.929 8.181
Er 1.609 0.929 14.035
Hf 0.000 0.000 16.662
Hf 0.000 1.858 5.554
Hf 1.609 0.929 27.770
Ti 0.000 0.000 0.000
Ti 0.000 1.858 22.216
Ti 1.609 0.929 11.108

=====

6
Lattice="0.000 3.973 3.973 3.973 0.000 3.973 3.973 3.973 0.000" Properties=species:S:1:pos:R:3 comment="ErHfTi4 | Alexandria via LeMat-Bulk | PBE | optimized geometry" e_tot_ev_per_cell=-44.7 formation_energy_kj_per_mol_atoms=21.7 crystal_system=cubic pbc="T T T"
Er 0.000 0.000 0.000
Hf 1.987 1.987 1.987
Ti 4.949 2.998 2.998
Ti 2.998 4.949 2.998
Ti 2.998 2.998 4.949
Ti 4.949 4.949 4.949

=====

4
Lattice="3.306 0.000 0.000 0.000 3.306 0.000 0.000 0.000 8.872" Properties=species:S:1:pos:R:3 comment="ErHfTl2 | Alexandria via LeMat-Bulk | PBE | optimized geometry" e_tot_ev_per_cell=-19.5 formation_energy_kj_per_mol_atoms=-5.4 crystal_system=tetragonal e_above_lowest_polymorph_mev_per_atom=0 pbc="T T T"
Er 0.000 0.000 0.000
Hf 0.000 0.000 4.436
Tl 1.653 1.653 2.300
Tl 1.653 1.653 6.572

=====

12
Lattice="3.435 0.000 0.000 -1.718 2.975 0.000 0.000 0.000 30.015" Properties=species:S:1:pos:R:3 comment="ErHfTl2 | Alexandria via LeMat-Bulk | PBE | optimized geometry" e_tot_ev_per_cell=-57.6 formation_energy_kj_per_mol_atoms=1.4 crystal_system=trigonal e_above_lowest_polymorph_mev_per_atom=71 pbc="T T T"
Er 0.000 0.000 0.000
Er 0.000 1.983 20.010
Er 1.718 0.992 10.005
Hf 0.000 0.000 15.008
Hf 0.000 1.983 5.003
Hf 1.718 0.992 25.013
Tl 0.000 0.000 7.437
Tl 0.000 0.000 22.578
Tl 0.000 1.983 12.573
Tl 0.000 1.983 27.447
Tl 1.718 0.992 2.568
Tl 1.718 0.992 17.442

=====

4
Lattice="4.773 0.000 0.000 0.000 4.773 0.000 0.000 0.000 4.298" Properties=species:S:1:pos:R:3 comment="ErHfTl2 | Alexandria via LeMat-Bulk | PBE | optimized geometry" e_tot_ev_per_cell=-19.3 formation_energy_kj_per_mol_atoms=-2.2 crystal_system=tetragonal e_above_lowest_polymorph_mev_per_atom=33 pbc="T T T"
Er 0.000 0.000 0.000
Hf 2.387 2.387 0.000
Tl 0.000 2.387 2.149
Tl 2.387 0.000 2.149